# 1
VASP calculation (GGA-PBEsol) on an optimized crystal structure of Al2CoSi.

Unit cell a=2.6934 b=2.6934 c=7.3119 alpha=90.00 beta=90.00 gamma=90.00
Atoms (fractional coordinates):
Al1 0.0000 0.0000 0.2088
Al2 0.0000 0.0000 0.7912
Co1 0.5000 0.5000 0.0000
Si1 0.5000 0.5000 0.5000

Energy relative to the elements, uncorrected: -0.218 eV per atom

---

# 2
VASP calculation (GGA-PBEsol) on an optimized crystal structure of AlCo2Si2.

Unit cell a=3.8902 b=3.8902 c=4.5882 alpha=90.00 beta=90.00 gamma=120.00
Atoms (fractional coordinates):
Al1 0.0000 0.0000 0.0000
Co1 0.3333 0.6667 0.8381
Co2 0.6667 0.3333 0.1619
Si1 0.3333 0.6667 0.3480
Si2 0.6667 0.3333 0.6520

Energy relative to the elements, uncorrected: -0.622 eV per atom

---

# 3
VASP calculation (GGA-PBEsol) on an optimized crystal structure of Al2Co2Si.

Unit cell a=3.8557 b=3.8557 c=4.9069 alpha=90.00 beta=90.00 gamma=120.00
Atoms (fractional coordinates):
Al1 0.3333 0.6667 0.3565
Al2 0.6667 0.3333 0.6435
Co1 0.3333 0.6667 0.8618
Co2 0.6667 0.3333 0.1382
Si1 0.0000 0.0000 0.0000

Energy relative to the elements, uncorrected: -0.591 eV per atom

---

# 4
VASP calculation (GGA-PBEsol) on an optimized crystal structure of AlTl2CoSn.

Unit cell a=5.2028 b=5.2028 c=5.2035 alpha=90.00 beta=90.00 gamma=90.00
Atoms (fractional coordinates):
Al1 0.0000 0.0000 0.0000
Tl1 0.0000 0.5000 0.0000
Tl2 0.5000 0.0000 0.0000
Co1 0.5000 0.5000 0.5000
Sn1 0.0000 0.0000 0.5000

ΔE_f: 1.064 eV/atom

---

# 5
VASP calculation (GGA-PBEsol) on an optimized crystal structure of SrAl9Co2.

Unit cell a=7.8509 b=7.8509 c=3.8698 alpha=90.00 beta=90.00 gamma=120.00
Atoms (fractional coordinates):
Sr1 0.0000 0.0000 0.0000
Al1 0.0000 0.5000 0.0000
Al2 0.2142 0.4284 0.5000
Al3 0.2142 0.7858 0.5000
Al4 0.4284 0.2142 0.5000
Al5 0.5000 0.0000 0.0000
Al6 0.5000 0.5000 0.0000
Al7 0.5716 0.7858 0.5000
Al8 0.7858 0.2142 0.5000
Al9 0.7858 0.5716 0.5000
Co1 0.3333 0.6667 0.0000
Co2 0.6667 0.3333 0.0000

ΔE_f: -0.409 eV/atom

---

# 6
VASP calculation (GGA-PBEsol) on an optimized crystal structure of SrAl2Co2.

Unit cell a=4.0812 b=4.0812 c=10.1148 alpha=90.00 beta=90.00 gamma=90.00
Atoms (fractional coordinates):
Sr1 0.0000 0.0000 0.0000
Sr2 0.5000 0.5000 0.5000
Al1 0.0000 0.5000 0.2500
Al2 0.0000 0.5000 0.7500
Al3 0.5000 0.0000 0.2500
Al4 0.5000 0.0000 0.7500
Co1 0.0000 0.0000 0.3880
Co2 0.0000 0.0000 0.6120
Co3 0.5000 0.5000 0.1120
Co4 0.5000 0.5000 0.8880

ΔE_f: -0.126 eV/atom